NaCd2NiF8 PBE+U relaxed; total moment = 3.11 μB per formula unit; ρ = 4.39 g/cm3; VASP energy = -46.3 eV per formula unit
1.0
5.045 -0.028 -0.003
0.007 4.987 -0.005
0.004 0.008 6.890
Na Cd Ni F
1 2 1 8
direct
0.000 0.000 0.500 Na
0.500 0.500 0.753 Cd
0.500 0.500 0.247 Cd
0.000 0.000 0.000 Ni
0.178 0.813 0.203 F
0.715 0.725 0.000 F
0.822 0.187 0.203 F
0.822 0.187 0.797 F
0.285 0.275 0.000 F
0.178 0.813 0.797 F
0.688 0.697 0.500 F
0.312 0.303 0.500 F